Below is an optimized crystal structure of H3OsRh, with properties calculated at the PBE level.

- SG: Pm-3m
- Calculated volume: 7.75 Å³ per atom
- DFT total energy: -5.103 eV/atom
- Theoretical density: 12.7 g cm⁻³

Unit cell a=3.384 b=3.384 c=3.384 alpha=90.00 beta=90.00 gamma=90.00
Atoms (fractional coordinates):
Rh1 0.000 0.000 0.000
Os1 0.500 0.500 0.500
H1 0.000 0.500 0.000
H2 0.000 0.000 0.500
H3 0.500 0.000 0.000

Below is an optimized crystal structure of CaMg2InRu, with properties calculated at the PBE level.

- Energy of formation from the pure elements: -51.4 meV/atom
- SG: P4/mmm
- Calculated volume: 25.72 Å³ per atom
- DFT total energy: -3.492 eV/atom
- Theoretical density: 3.9 g cm⁻³

Unit cell a=4.993 b=4.993 c=5.159 alpha=90.00 beta=90.00 gamma=90.00
Atoms (fractional coordinates):
Ru1 0.000 0.000 0.000
Ca1 0.500 0.500 0.500
In1 0.000 0.000 0.500
Mg1 0.000 0.500 0.000
Mg2 0.500 0.000 0.000

Below is an optimized crystal structure of VCoSi2, with properties calculated at the PBE level.

- SG: R-3m
- Calculated volume: 12.36 Å³ per atom
- DFT total energy: -7.112 eV/atom
- Theoretical density: 5.6 g cm⁻³
- Uncorrected formation energy: -0.344 eV per atom

Unit cell a=3.791 b=3.791 c=4.536 alpha=65.30 beta=65.30 gamma=60.00
Atoms (fractional coordinates):
Si1 0.275 0.275 0.176
Si2 0.725 0.725 0.824
Co1 0.000 0.000 0.000
V1 0.500 0.500 0.500